The following is a GGA-PBE calculation of LiPtC2 after structural relaxation, from the Alexandria database.

```
LiPtC2
1.0
0.0000 2.6366 2.6366
2.6366 0.0000 2.6366
2.6366 2.6366 0.0000
Pt Li C
1 1 2
direct
0.5000 0.5000 0.5000 Pt
0.0000 0.0000 0.0000 Li
0.7500 0.7500 0.7500 C
0.2500 0.2500 0.2500 C
```

V	9.16	A^3/atom
DFT formation energy	119	kJ per mole of atoms
VASP energy	-5.3705	eV per atom
total moment	0.0	μB/cell
mass density	10.24	g/cm3